(1)
## CsK2NaLi (PBE-GGA)

Data for an optimized crystal structure of CsK2NaLi.

abc: 7.055 7.055 6.408
angles: 90.00 90.00 90.00
Atoms (fractional coordinates):
Cs (0.000, 0.000, 0.000)
K (0.000, 0.500, 0.500)
K (0.500, 0.000, 0.500)
Na (0.500, 0.500, 0.000)
Li (0.500, 0.500, 0.500)

Energy relative to the elements, eV/atom: 0.105
Space group: No. 123
E_tot, eV per atom: -1.1511


(2)
## ZnSb (PBE-GGA)

Data for an optimized crystal structure of ZnSb.

abc: 6.278 7.820 8.216
angles: 90.00 90.00 90.00
Atoms (fractional coordinates):
Zn (0.041, 0.107, 0.127)
Zn (0.041, 0.393, 0.627)
Zn (0.459, 0.607, 0.127)
Zn (0.459, 0.893, 0.627)
Zn (0.541, 0.107, 0.373)
Zn (0.541, 0.393, 0.873)
Zn (0.959, 0.607, 0.373)
Zn (0.959, 0.893, 0.873)
Sb (0.142, 0.583, 0.891)
Sb (0.142, 0.917, 0.391)
Sb (0.358, 0.083, 0.891)
Sb (0.358, 0.417, 0.391)
Sb (0.642, 0.583, 0.609)
Sb (0.642, 0.917, 0.109)
Sb (0.858, 0.083, 0.609)
Sb (0.858, 0.417, 0.109)

Formation energy without anion corrections, eV per atom: -0.03
Space group: No. 61
E_tot, eV per atom: -2.7253


(3)
## CsRb3As2O6 (PBE-GGA)

Data for an optimized crystal structure of CsRb3As2O6.

abc: 6.590 6.590 8.019
angles: 90.00 90.00 120.00
Atoms (fractional coordinates):
Cs (0.000, 0.000, 0.000)
Rb (0.000, 0.000, 0.500)
Rb (0.333, 0.667, 0.199)
Rb (0.667, 0.333, 0.801)
As (0.333, 0.667, 0.687)
As (0.667, 0.333, 0.313)
O (0.189, 0.378, 0.755)
O (0.189, 0.811, 0.755)
O (0.378, 0.189, 0.245)
O (0.622, 0.811, 0.755)
O (0.811, 0.189, 0.245)
O (0.811, 0.622, 0.245)

Formation energy without anion corrections, eV per atom: -1.44
Space group: No. 164
E_tot, eV per atom: -5.0098


(4)
## Pr4SmHoSe8 (PBE-GGA)

Data for an optimized crystal structure of Pr4SmHoSe8.

abc: 8.672 8.672 8.672
angles: 60.13 60.13 60.13
Atoms (fractional coordinates):
Pr (0.000, 0.000, 0.000)
Pr (0.378, 0.378, 0.870)
Pr (0.378, 0.870, 0.378)
Pr (0.870, 0.378, 0.378)
Sm (0.378, 0.378, 0.378)
Ho (0.751, 0.751, 0.751)
Se (0.134, 0.134, 0.134)
Se (0.136, 0.619, 0.619)
Se (0.138, 0.138, 0.598)
Se (0.138, 0.598, 0.138)
Se (0.598, 0.138, 0.138)
Se (0.619, 0.136, 0.619)
Se (0.619, 0.619, 0.136)
Se (0.623, 0.623, 0.623)

Formation energy without anion corrections, eV per atom: -1.72
Space group: No. 160
E_tot, eV per atom: -5.7436


(5)
## MnTl3Te (PBE-GGA)

Data for an optimized crystal structure of MnTl3Te.

abc: 5.342 5.342 5.342
angles: 90.00 90.00 90.00
Atoms (fractional coordinates):
Mn (0.000, 0.000, 0.000)
Tl (0.000, 0.000, 0.500)
Tl (0.000, 0.500, 0.000)
Tl (0.500, 0.000, 0.000)
Te (0.500, 0.500, 0.500)

Formation energy without anion corrections, eV per atom: 0.25
Space group: No. 221
E_tot, eV per atom: -3.6352


(6)
## Ba2TlSb2 (PBE-GGA)

Data for an optimized crystal structure of Ba2TlSb2.

abc: 7.643 7.643 7.643
angles: 133.48 133.48 67.90
Atoms (fractional coordinates):
Ba (0.250, 0.750, 0.500)
Ba (0.750, 0.250, 0.500)
Tl (0.000, 0.000, 0.000)
Sb (0.386, 0.386, 0.000)
Sb (0.614, 0.614, 0.000)

Formation energy without anion corrections, eV per atom: -0.42
Space group: No. 139
E_tot, eV per atom: -3.3124


> Number 2 is which compound?

ZnSb


> Which of these has the highest E_tot?

CsK2NaLi